A plane-wave DFT calculation with PBE was carried out for RbNa6Tl8 after structural relaxation.

It has space group R-3 (No. 148, hexagonal axes), with a = 9.4245 Å, b = 9.4245 Å, c = 18.9463 Å, α = 90.00°, β = 90.00° and γ = 120.00°. Symmetry generates all atoms from Rb at (0.0000, 0.0000, 0.0000), Na at (0.0049, 0.2339, 0.3848), Tl at (0.0000, 0.0000, 0.2279) and Tl at (0.0142, 0.3091, 0.8783).

The density of states at the Fermi level is 17.1 states/eV/cell. The calculation puts the formation enthalpy at 0 K at -0.056 eV per atom.